1.
The following is a GGA-PBE calculation of a geometry-optimized Rb3HfF structure, from the Alexandria database.

Output
Uncorrected formation energy = -88 meV/atom
Symmetry = Pm-3m

abc: 5.852 5.852 5.852
angles: 90.00 90.00 90.00
Site moments in Bohr magnetons follow the coordinates.
Fractional coordinates of all 5 atoms:
F  0.000  0.000  0.000  0.02
Rb  0.000  0.000  0.500  0.06
Rb  0.000  0.500  0.000  0.04
Rb  0.500  0.000  0.000  0.04
Hf  0.500  0.500  0.500  1.58

2.
The following is a GGA-PBE calculation of a geometry-optimized SrZrAu2 structure, from the Alexandria database.

Output
Symmetry = Fm-3m
ΔE_f = -132 kJ/mol of formula units

abc: 5.111 5.111 5.111
angles: 60.00 60.00 60.00
Fractional coordinates of all 4 atoms:
Sr  0.000  0.000  0.000
Zr  0.500  0.500  0.500
Au  0.750  0.750  0.750
Au  0.250  0.250  0.250

3.
The following is a GGA-PBE calculation of a geometry-optimized SmEu2Zr structure, from the Alexandria database.

Output
Symmetry = R-3m
ΔE_f = 159 kJ/mol of formula units

abc: 3.437 3.437 12.703
angles: 82.22 82.22 60.00
Site moments in Bohr magnetons follow the coordinates.
Fractional coordinates of all 4 atoms:
Zr  0.000  0.000  0.000  -0.27
Eu  0.917  0.917  0.249  -7.05
Eu  0.083  0.083  0.751  -7.05
Sm  0.500  0.500  0.500  0.00

4.
The following is a GGA-PBE calculation of a geometry-optimized K2TiIn2 structure, from the Alexandria database.

Output
Symmetry = I4/mmm
ΔE_f = 276 kJ/mol of formula units

abc: 4.295 4.295 8.812
angles: 75.89 75.89 90.00
Site moments in Bohr magnetons follow the coordinates.
Fractional coordinates of all 5 atoms:
Ti  0.000  0.000  0.000  1.54
In  0.585  0.585  0.830  0.01
In  0.415  0.415  0.170  0.01
K  0.250  0.750  0.500  0.01
K  0.750  0.250  0.500  0.01

5.
The following is a GGA-PBE calculation of a geometry-optimized Nd5Dy12Er2 structure, from the Alexandria database.

Output
Symmetry = C2/m
ΔE_f = 389 kJ/mol of formula units

abc: 9.075 10.004 8.678
angles: 67.31 90.00 116.97
Fractional coordinates of all 19 atoms:
Nd  0.000  0.000  0.500
Nd  0.290  0.579  0.222
Nd  0.237  0.474  0.708
Nd  0.763  0.526  0.292
Nd  0.710  0.421  0.778
Dy  0.954  0.908  0.182
Dy  0.149  0.746  0.455
Dy  0.960  0.290  0.095
Dy  0.669  0.710  0.905
Dy  0.040  0.710  0.905
Dy  0.331  0.290  0.095
Dy  0.851  0.254  0.545
Dy  0.560  0.119  0.284
Dy  0.404  0.254  0.545
Dy  0.440  0.881  0.716
Dy  0.596  0.746  0.455
Dy  0.046  0.092  0.818
Er  0.327  0.000  0.000
Er  0.673  0.000  0.000

6.
The following is a GGA-PBE calculation of a geometry-optimized ZrReNi2 structure, from the Alexandria database.

Output
Symmetry = I-42d
ΔE_f = 174 kJ/mol of formula units

abc: 3.866 3.866 9.106
angles: 77.74 77.74 90.00
Fractional coordinates of all 8 atoms:
Ni  0.086  0.625  0.250
Ni  0.664  0.125  0.250
Ni  0.875  0.914  0.750
Ni  0.375  0.336  0.750
Re  0.000  0.000  0.000
Re  0.750  0.250  0.500
Zr  0.500  0.500  0.000
Zr  0.250  0.750  0.500

7.
The following is a GGA-PBE calculation of a geometry-optimized PH3Ru structure, from the Alexandria database.

Output
Symmetry = Pm-3m
Raw total energy = -4.4201 eV per atom

abc: 3.454 3.454 3.454
angles: 90.00 90.00 90.00
Fractional coordinates of all 5 atoms:
H  0.500  0.000  0.000
H  0.000  0.500  0.000
H  0.000  0.000  0.500
P  0.500  0.500  0.500
Ru  0.000  0.000  0.000

8.
The following is a GGA-PBE calculation of a geometry-optimized ZrRh2Cl structure, from the Alexandria database.

Output
Uncorrected formation energy = -366 meV/atom
Symmetry = P4/mmm

abc: 3.308 3.308 6.466
angles: 90.00 90.00 89.97
Fractional coordinates of all 4 atoms:
Zr  0.500  0.500  0.250
Cl  0.500  0.500  0.750
Rh  0.000  0.000  0.472
Rh  0.000  0.000  0.028

| no. | DOS at the Fermi energy (states/eV per atom) | calculated density (g cm⁻³) |
| --- | --- | --- |
| 1 | 2.143 | 3.8 |
| 2 | 0.485 | 10.1 |
| 3 | 1.527 | 7.1 |
| 4 | 1.011 | 3.9 |
| 5 | 1.526 | 7.9 |
| 6 | 0.957 | 10.1 |
| 7 | 0.086 | 5.4 |
| 8 | 0.964 | 7.8 |